## KZr2Rh (PBE-GGA)

Data for a relaxed structure of KZr2Rh.

Calculated values
mass density = 3.79 g/cm3
electronic total energy = -5.505 eV per atom
total moment = 0.0000 μB/atom
Fermi-level density of states = 9.988 states/eV per cell
energy of formation from the pure elements = 0.881 eV/atom

Unit cell a=9.5060 b=9.5060 c=9.5060 alpha=144.79 beta=144.79 gamma=50.65
Atoms (fractional coordinates):
K 0.3750 0.6250 0.7500
K 0.6250 0.3750 0.2500
Zr 0.0000 0.0000 0.0000
Zr 0.0000 0.0000 0.5000
Zr 0.0000 0.5000 0.0000
Zr 0.5000 0.0000 0.5000
Rh 0.1250 0.8750 0.2500
Rh 0.8750 0.1250 0.7500